First-principles (PBE-GGA) data for crystalline AuS6F2 at its relaxed geometry, as listed in the Open Quantum Materials Database.

Properties
Its total energy is -33.94 eV per cell. As for the crystal system: triclinic.

Cell: 4.0577 6.7135 6.9965 Å, 72.78 80.18 85.14°
Closest atoms and distances in Å follow each position.
Positions (direct):
Au 0.0000 0.0000 0.0000  2 F 2.13
F 0.6166 0.1149 0.1919  1 Au 2.13
F 0.3834 0.8851 0.8081  1 Au 2.13
S 0.9837 0.4546 0.2437  2 S 2.04-2.11
S 0.1684 0.7224 0.2820  2 S 2.11
S 0.1719 0.2298 0.4707  2 S 2.04-2.11
S 0.8281 0.7702 0.5293  2 S 2.04-2.11
S 0.8316 0.2776 0.7180  2 S 2.11
S 0.0163 0.5454 0.7563  2 S 2.04-2.11

***

First-principles (PBE-GGA) data for crystalline Cu5Ag4 at its relaxed geometry, as listed in the Open Quantum Materials Database.

Properties
Its total energy is -29.11 eV per cell. As for the crystal system: monoclinic. As for the formation energy from the elements: 85 meV/atom.

Cell: 7.1807 7.1807 7.9784 Å, 122.91 122.91 22.36°
Closest atoms and distances in Å follow each position.
Positions (direct):
Ag 0.1124 0.1124 0.1520  6 Ag 2.72-2.88, 6 Cu 2.73-2.92
Ag 0.3382 0.3382 0.4922  5 Cu 2.64-2.74, 7 Ag 2.78-2.91
Ag 0.6618 0.6618 0.5078  5 Cu 2.64-2.74, 7 Ag 2.78-2.91
Ag 0.8876 0.8876 0.8480  6 Ag 2.72-2.88, 6 Cu 2.73-2.92
Cu 0.7816 0.7816 0.1534  8 Cu 2.51-2.78, 4 Ag 2.74-2.76
Cu 0.4406 0.4406 0.1835  7 Cu 2.53-2.78, 3 Ag 2.73
Cu 0.0000 0.0000 0.5000  8 Cu 2.58-2.78, 4 Ag 2.64
Cu 0.5594 0.5594 0.8165  7 Cu 2.53-2.78, 3 Ag 2.73
Cu 0.2184 0.2184 0.8466  8 Cu 2.51-2.78, 4 Ag 2.74-2.76